Record 1
A plane-wave DFT calculation with PBE-GGA was carried out for a relaxed structure of Tb2SmPaP4.

Calculated values
- V: 23.1 A^3/atom
- Density: 7.41 g/cm3
- Formation energy: -12.278 eV per formula unit
- Final energy: -7.1741 eV/atom
- SG: No. 10

abc: 6.955 4.032 6.977
angles: 90.00 109.47 90.00
Fractional positions:
Tb 0.000 0.000 0.000
Tb 0.000 0.500 0.500
Sm 0.500 0.000 0.500
Pa 0.500 0.500 0.000
P 0.251 0.500 0.242
P 0.253 0.000 0.757
P 0.747 0.000 0.243
P 0.749 0.500 0.758

***

Record 2
A plane-wave DFT calculation with PBE-GGA was carried out for a relaxed structure of TbSm3Pa2P6.

Calculated values
- V: 23.3 A^3/atom
- Density: 7.47 g/cm3
- Formation energy: -18.065 eV per formula unit
- Final energy: -7.3586 eV/atom
- SG: No. 12

abc: 6.993 6.993 7.005
angles: 99.57 99.57 120.00
Fractional positions:
Tb 0.000 0.000 0.000
Sm 0.165 0.835 0.500
Sm 0.500 0.500 0.500
Sm 0.835 0.165 0.500
Pa 0.333 0.667 0.000
Pa 0.667 0.333 0.000
P 0.080 0.419 0.239
P 0.259 0.259 0.761
P 0.419 0.080 0.239
P 0.581 0.920 0.761
P 0.741 0.741 0.239
P 0.920 0.581 0.761